# 1
{"formula": "ReRu", "functional": "PBE-GGA", "state": "relaxed", "cell": [[3.826, 0.000, 0.000], [-1.913, 3.313, 0.000], [0.000, 0.000, 5.313]], "species": ["Re", "Re", "Ru", "Ru"], "fractional_positions": [[0.333, 0.667, 0.250], [0.667, 0.333, 0.750], [0.000, 0.000, 0.000], [0.000, 0.000, 0.500]], "magnetic_moment_mub_per_cell": 0.00, "final_energy_ev_per_atom": -9.867}



# 2
{"formula": "Er2Zn5Cu3", "functional": "PBE-GGA", "state": "relaxed", "cell": [[-5.485, 5.631, 2.770], [5.485, -5.631, 2.770], [5.485, 5.631, -2.770]], "species": ["Er", "Er", "Er", "Er", "Zn", "Zn", "Zn", "Zn", "Zn", "Zn", "Zn", "Zn", "Zn", "Zn", "Cu", "Cu", "Cu", "Cu", "Cu", "Cu"], "fractional_positions": [[0.245, 0.129, 0.374], [0.255, 0.629, 0.884], [0.745, 0.371, 0.116], [0.755, 0.871, 0.626], [0.142, 0.383, 0.525], [0.250, 0.250, 0.000], [0.250, 0.501, 0.251], [0.250, 0.999, 0.749], [0.358, 0.883, 0.241], [0.642, 0.117, 0.759], [0.750, 0.001, 0.251], [0.750, 0.499, 0.749], [0.750, 0.750, 0.000], [0.858, 0.617, 0.475], [0.143, 0.876, 0.019], [0.250, 0.750, 0.500], [0.357, 0.376, 0.733], [0.643, 0.624, 0.267], [0.750, 0.250, 0.500], [0.857, 0.124, 0.981]], "magnetic_moment_mub_per_cell": 0.00, "final_energy_ev_per_atom": -3.026}



# 3
{"formula": "Re2NiHRu", "functional": "PBE-GGA", "state": "relaxed", "cell": [[3.866, 0.000, 0.000], [0.000, 3.866, 0.000], [0.000, 0.000, 3.835]], "species": ["Re", "Re", "Ni", "H", "Ru"], "fractional_positions": [[0.000, 0.500, 0.000], [0.500, 0.000, 0.000], [0.000, 0.000, 0.500], [0.000, 0.000, 0.000], [0.500, 0.500, 0.500]], "magnetic_moment_mub_per_cell": 0.00, "final_energy_ev_per_atom": -8.467}



# 4
{"formula": "HfMn2PtC", "functional": "PBE-GGA", "state": "relaxed", "cell": [[4.834, 0.000, 0.000], [0.000, 4.834, 0.000], [0.000, 0.000, 4.042]], "species": ["Hf", "Mn", "Mn", "Pt", "C"], "fractional_positions": [[0.000, 0.000, 0.000], [0.000, 0.500, 0.000], [0.500, 0.000, 0.000], [0.500, 0.500, 0.500], [0.000, 0.000, 0.500]], "magnetic_moment_mub_per_cell": 7.05, "final_energy_ev_per_atom": -7.039}



# 5
{"formula": "PuGa6Ni12", "functional": "PBE-GGA", "state": "relaxed", "cell": [[5.302, 3.061, 2.675], [-5.302, 3.061, 2.675], [0.000, -6.122, 2.675]], "species": ["Pu", "Ga", "Ga", "Ga", "Ga", "Ga", "Ga", "Ni", "Ni", "Ni", "Ni", "Ni", "Ni", "Ni", "Ni", "Ni", "Ni", "Ni", "Ni"], "fractional_positions": [[0.000, 0.000, 0.000], [0.275, 0.275, 0.708], [0.275, 0.708, 0.275], [0.292, 0.725, 0.725], [0.708, 0.275, 0.275], [0.725, 0.292, 0.725], [0.725, 0.725, 0.292], [0.114, 0.500, 0.886], [0.114, 0.886, 0.500], [0.141, 0.389, 0.389], [0.389, 0.141, 0.389], [0.389, 0.389, 0.141], [0.500, 0.114, 0.886], [0.500, 0.886, 0.114], [0.611, 0.611, 0.859], [0.611, 0.859, 0.611], [0.859, 0.611, 0.611], [0.886, 0.114, 0.500], [0.886, 0.500, 0.114]], "magnetic_moment_mub_per_cell": 5.26, "final_energy_ev_per_atom": -5.530}



# 6
{"formula": "MnNbS2Cl", "functional": "PBE-GGA", "state": "relaxed", "cell": [[4.847, 0.000, 0.000], [0.000, 4.847, 0.000], [0.000, 0.000, 4.846]], "species": ["Mn", "Nb", "S", "S", "Cl"], "fractional_positions": [[0.000, 0.000, 0.000], [0.500, 0.500, 0.500], [0.000, 0.500, 0.500], [0.500, 0.000, 0.500], [0.500, 0.500, 0.000]], "magnetic_moment_mub_per_cell": 5.71, "formation_energy_uncorrected_ev_per_atom": -0.1458, "final_energy_ev_per_atom": -6.014}



# 7
{"formula": "Zn2ReNiAg", "functional": "PBE-GGA", "state": "relaxed", "cell": [[4.596, 0.000, 0.000], [0.000, 4.596, 0.000], [0.000, 0.000, 4.651]], "species": ["Zn", "Zn", "Re", "Ni", "Ag"], "fractional_positions": [[0.000, 0.500, 0.000], [0.500, 0.000, 0.000], [0.000, 0.000, 0.500], [0.500, 0.500, 0.500], [0.500, 0.500, 0.000]], "magnetic_moment_mub_per_cell": 2.80, "final_energy_ev_per_atom": -3.132}



# 8
{"formula": "Pr2TcH4", "functional": "PBE-GGA", "state": "relaxed", "cell": [[-1.811, 1.811, 7.366], [1.811, -1.811, 7.366], [1.811, 1.811, -7.366]], "species": ["Pr", "Pr", "Tc", "H", "H", "H", "H"], "fractional_positions": [[0.136, 0.136, 0.000], [0.864, 0.864, 0.000], [0.500, 0.500, 0.000], [0.000, 0.500, 0.500], [0.376, 0.376, 0.000], [0.500, 0.000, 0.500], [0.624, 0.624, 0.000]], "magnetic_moment_mub_per_cell": 0.01, "final_energy_ev_per_atom": -5.063}



# 9
{"formula": "ErMgZr", "functional": "PBE-GGA", "state": "relaxed", "cell": [[3.280, 0.000, 0.000], [0.000, 4.871, 0.000], [-1.602, 0.000, 9.571]], "species": ["Er", "Er", "Mg", "Mg", "Zr", "Zr"], "fractional_positions": [[0.000, 0.000, 0.000], [0.247, 0.500, 0.485], [0.574, 0.500, 0.157], [0.671, 0.000, 0.328], [0.410, 0.500, 0.815], [0.839, 0.000, 0.671]], "magnetic_moment_mub_per_cell": 0.00, "final_energy_ev_per_atom": -4.884}



# 10
{"formula": "NaCa2TeN", "functional": "PBE-GGA", "state": "relaxed", "cell": [[4.853, 0.000, 0.000], [0.000, 4.853, 0.000], [0.000, 0.000, 4.800]], "species": ["Na", "Ca", "Ca", "Te", "N"], "fractional_positions": [[0.000, 0.000, 0.000], [0.000, 0.500, 0.500], [0.500, 0.000, 0.500], [0.500, 0.500, 0.000], [0.000, 0.000, 0.500]], "magnetic_moment_mub_per_cell": 0.00, "formation_energy_uncorrected_ev_per_atom": -0.9667, "final_energy_ev_per_atom": -4.325}



# 11
{"formula": "Ag2Ge3Cl8", "functional": "PBE-GGA", "state": "relaxed", "cell": [[6.534, -3.888, 0.000], [6.534, 3.888, 0.000], [-0.950, 0.000, 6.792]], "species": ["Ag", "Ag", "Ge", "Ge", "Ge", "Cl", "Cl", "Cl", "Cl", "Cl", "Cl", "Cl", "Cl"], "fractional_positions": [[0.216, 0.216, 0.075], [0.784, 0.784, 0.925], [0.246, 0.754, 0.500], [0.500, 0.500, 0.000], [0.754, 0.246, 0.500], [0.114, 0.114, 0.385], [0.140, 0.614, 0.144], [0.385, 0.385, 0.647], [0.386, 0.860, 0.856], [0.614, 0.140, 0.144], [0.615, 0.615, 0.353], [0.860, 0.386, 0.856], [0.886, 0.886, 0.615]], "magnetic_moment_mub_per_cell": 0.00, "formation_energy_uncorrected_ev_per_atom": -0.6578, "final_energy_ev_per_atom": -3.298}



# 12
{"formula": "Ca2GeHAu", "functional": "PBE-GGA", "state": "relaxed", "cell": [[5.138, 0.000, 0.000], [0.000, 5.138, 0.000], [0.000, 0.000, 3.768]], "species": ["Ca", "Ca", "Ge", "H", "Au"], "fractional_positions": [[0.000, 0.500, 0.000], [0.500, 0.000, 0.000], [0.000, 0.000, 0.500], [0.500, 0.500, 0.000], [0.500, 0.500, 0.500]], "magnetic_moment_mub_per_cell": 0.00, "final_energy_ev_per_atom": -3.583}



Q: Which formula does entry 11 have?
A: Ag2Ge3Cl8